The following is a PBE calculation of crystalline KBaHo at its relaxed geometry, from OQMD via LeMat-Bulk.

Values from the calculation:
Total magnetic moment, μB per cell: 0.280
Crystal system: cubic
Excess energy over the best structure of this formula in the dataset, meV/atom: 0

Lattice parameters (Å, degrees): 6.4453 6.4453 6.4453 60.00 60.00 60.00
Closest atoms and distances in Å follow each position.
Fractional coordinates of all 3 atoms:
Ba: 0.2500 0.2500 0.2500  4 Ho 3.95
Ho: 0.0000 0.0000 0.0000  4 K 3.95, 4 Ba 3.95
K: 0.7500 0.7500 0.7500  4 Ho 3.95


The following is a PBE calculation of crystalline NaNpTl at its relaxed geometry, from OQMD via LeMat-Bulk.

Values from the calculation:
Total magnetic moment, μB per cell: 4.561
Crystal system: cubic
Excess energy over the best structure of this formula in the dataset, meV/atom: 0

Lattice parameters (Å, degrees): 5.2017 5.2017 5.2017 60.00 60.00 60.00
Closest atoms and distances in Å follow each position.
Fractional coordinates of all 3 atoms:
Na: 0.2500 0.2500 0.2500  4 Tl 3.19
Np: 0.7500 0.7500 0.7500  4 Tl 3.19
Tl: 0.0000 0.0000 0.0000  4 Np 3.19, 4 Na 3.19


The following is a PBE calculation of crystalline AlZn at its relaxed geometry, from OQMD via LeMat-Bulk.

Values from the calculation:
Crystal system: cubic
DFT total energy, hartree per atom: -0.08147

Lattice parameters (Å, degrees): 3.7310 3.7310 3.7310 60.00 60.00 60.00
Closest atoms and distances in Å follow each position.
Fractional coordinates of all 2 atoms:
Al: 0.0000 0.0000 0.0000  6 Zn 2.64
Zn: 0.5000 0.5000 0.5000  6 Al 2.64